1.
An optimized crystal structure of VB3Te, computed with PBE.

Cell: 4.1366 4.1366 4.1366 Å, 90.00 90.00 90.00°
Closest atoms and distances in Å follow each position.
Space group Pm-3m (No. 221)
Symmetry-distinct sites (fractional):
V 0.0000 0.0000 0.0000 [1 per cell]  6 B 2.07
B 0.0000 0.0000 0.5000 [3 per cell]  2 V 2.07
Te 0.5000 0.5000 0.5000 [1 per cell]  12 B 2.93

Results
Excess energy over the best structure of this formula in the dataset, meV/atom: 0.0
DOS(E_F), states/eV/f.u.: 2.659
Energy relative to the elements, uncorrected, eV per atom: 1.4744

=====

2.
An optimized crystal structure of Tb2Nd3Er6, computed with PBE.

Cell: 4.7433 4.7433 33.1617 Å, 90.00 90.00 90.00°
Closest atoms and distances in Å follow each position.
Space group I4/mmm (No. 139)
Symmetry-distinct sites (fractional):
Tb 0.0000 0.0000 0.0463 [4 per cell]  1 Tb 3.07, 4 Er 3.42
Nd 0.0000 0.0000 0.2959 [4 per cell]  9 Er 3.38-3.65
Nd 0.0000 0.0000 0.5000 [2 per cell]  8 Tb 3.69
Er 0.0000 0.0000 0.1920 [4 per cell]  4 Er 3.35, 5 Nd 3.38-3.44
Er 0.0000 0.5000 0.1206 [8 per cell]  6 Er 3.35, 2 Tb 3.42, 2 Nd 3.65

Results
Excess energy over the best structure of this formula in the dataset, meV/atom: 70.0
DOS(E_F), states/eV/f.u.: 16.612

=====

3.
An optimized crystal structure of UCdRu2, computed with PBE.

Cell: 4.4045 4.4045 3.5956 Å, 90.00 90.00 90.00°
Closest atoms and distances in Å follow each position.
Space group P4/mmm (No. 123)
Symmetry-distinct sites (fractional):
U 0.0000 0.0000 0.0000 [1 per cell]  8 Ru 2.84, 4 Cd 3.11
Cd 0.5000 0.5000 0.0000 [1 per cell]  8 Ru 2.84, 4 U 3.11
Ru 0.0000 0.5000 0.5000 [2 per cell]  4 Cd 2.84, 4 U 2.84, 4 Ru 3.11

Results
DOS(E_F), states/eV/f.u.: 2.260

=====

4.
An optimized crystal structure of LaInAg, computed with PBE.

Cell: 7.3182 7.3182 7.3182 Å, 90.00 90.00 90.00°
Closest atoms and distances in Å follow each position.
Space group F-43m (No. 216)
Symmetry-distinct sites (fractional):
La 0.0000 0.0000 0.0000 [4 per cell]  4 Ag 3.17, 4 In 3.17
In 0.2500 0.2500 0.7500 [4 per cell]  4 La 3.17
Ag 0.2500 0.2500 0.2500 [4 per cell]  4 La 3.17

Results
DOS(E_F), states/eV/f.u.: 2.989

=====

5.
An optimized crystal structure of La3Zn4Au4, computed with PBE.

Cell: 3.9358 4.5128 14.3891 Å, 98.98 97.86 90.11°
Closest atoms and distances in Å follow each position.
Space group P-1 (No. 2)
Symmetry-distinct sites (fractional):
La 0.0000 0.0000 0.0000 [1 per cell]  8 Au 3.32, 4 Zn 3.37
La 0.1462 0.6464 0.2942 [2 per cell]  6 Au 3.24-3.35, 6 Zn 3.30-3.40
Zn 0.2532 0.2552 0.5091 [2 per cell]  4 Au 2.66-2.73
Zn 0.4038 0.9033 0.8057 [2 per cell]  3 Au 2.61-2.64
Au 0.3106 0.8096 0.6181 [2 per cell]  5 Zn 2.64-2.73
Au 0.4491 0.4493 0.8983 [2 per cell]  2 Zn 2.61, 1 Au 2.86

Results
Excess energy over the best structure of this formula in the dataset, meV/atom: 6.8
DOS(E_F), states/eV/f.u.: 5.831

=====

6.
An optimized crystal structure of PmGaGe2, computed with PBE.

Cell: 4.3547 4.3547 4.4172 Å, 90.00 90.00 90.00°
Closest atoms and distances in Å follow each position.
Space group P4/mmm (No. 123)
Symmetry-distinct sites (fractional):
Pm 0.0000 0.0000 0.0000 [1 per cell]  4 Ga 3.08, 8 Ge 3.10
Ga 0.5000 0.5000 0.0000 [1 per cell]  4 Pm 3.08, 8 Ge 3.10
Ge 0.0000 0.5000 0.5000 [2 per cell]  4 Ge 3.08, 4 Pm 3.10, 4 Ga 3.10

Results
Excess energy over the best structure of this formula in the dataset, meV/atom: 0.0
DOS(E_F), states/eV/f.u.: 1.061

=====

7.
An optimized crystal structure of Sc2SiNi, computed with PBE.

Cell: 3.9765 3.5369 10.0215 Å, 90.00 90.00 90.00°
Closest atoms and distances in Å follow each position.
Space group Amm2 (No. 38)
Symmetry-distinct sites (fractional):
Sc 0.0000 0.0000 0.0000 [2 per cell]  4 Si 2.76, 3 Ni 2.78-2.87
Sc 0.5000 0.0000 0.2883 [2 per cell]  4 Ni 2.76, 3 Si 2.79-2.85
Si 0.5000 0.0000 0.5729 [2 per cell]  2 Ni 2.44
Ni 0.0000 0.0000 0.7135 [2 per cell]  2 Si 2.44

Results
DOS(E_F), states/eV/f.u.: 2.571
Energy relative to the elements, uncorrected, eV per atom: -0.6781

=====

8.
An optimized crystal structure of CaNb2PI, computed with PBE.

Cell: 4.6630 4.6630 6.6357 Å, 90.00 90.00 90.00°
Closest atoms and distances in Å follow each position.
Space group P4/mmm (No. 123)
Symmetry-distinct sites (fractional):
Ca 0.0000 0.0000 0.0000 [1 per cell]  4 I 3.30
Nb 0.0000 0.5000 0.5000 [2 per cell]  2 P 2.33
P 0.5000 0.5000 0.5000 [1 per cell]  4 Nb 2.33
I 0.5000 0.5000 0.0000 [1 per cell]  4 Ca 3.30, 2 P 3.32

Results
DOS(E_F), states/eV/f.u.: 5.909
Energy relative to the elements, uncorrected, eV per atom: 0.3907

=====

Calculated size of the total moment in order - 0.00 0.00 0.25 0.00 0.00 0.00 0.00 1.20 Bohr magnetons per cell
Calculated raw total energy in order - -4.984 -4.359 -7.846 -3.390 -3.627 -4.722 -6.645 -5.430 eV/atom